No. 1
This record from Alexandria via LeMat-Bulk describes a relaxed KZr crystal. The functional is PBE.

V in Å³ per cell: 342.0
ΔH_f (0 K) in eV/atom: 1.57
Energy relative to the lowest polymorph listed for this composition in meV/atom: 1130
E_tot in eV/f.u.: -6.503

a b c (Å): 6.928 6.928 7.125
angles (deg): 90.00 90.00 90.00
Space group P4_2/mnm (No. 136)
Symmetry-distinct sites (fractional):
1 K 0.160 0.160 0.000 x4
2 Zr 0.124 0.124 0.500 x4

---

No. 2
This record from Alexandria via LeMat-Bulk describes a relaxed Zn6KrO6 crystal. The functional is PBE.

Formation energy (no corrections) in eV per atom: -1.1741
V in Å³ per cell: 189.3
E_tot in eV/f.u.: -52.705

a b c (Å): 5.741 5.741 5.741
angles (deg): 90.00 90.00 90.00
Space group Pm-3 (No. 200)
Symmetry-distinct sites (fractional):
1 Zn 0.000 0.251 0.500 x6
2 Kr 0.000 0.000 0.000 x1
3 O 0.000 0.500 0.251 x6

---

No. 3
This record from Alexandria via LeMat-Bulk describes a relaxed Si23Kr3 crystal. The functional is PBE.

Formation energy (no corrections) in eV per atom: 0.1253
V in Å³ per cell: 1101.0
E_tot in eV/f.u.: -121.618

a b c (Å): 10.326 10.326 10.326
angles (deg): 90.00 90.00 90.00
Space group Pm-3n (No. 223)
Symmetry-distinct sites (fractional):
1 Si 0.000 0.118 0.306 x24
2 Si 0.000 0.250 0.500 x6
3 Si 0.184 0.184 0.184 x16
4 Kr 0.000 0.500 0.250 x6

---

No. 4
This record from Alexandria via LeMat-Bulk describes a relaxed La crystal. The functional is PBE.

V in Å³ per cell: 596.9
ΔH_f (0 K) in eV/atom: 1.32
Energy relative to the lowest polymorph listed for this composition in meV/atom: 1324
E_tot in eV/f.u.: -3.603

a b c (Å): 8.420 8.420 8.420
angles (deg): 90.00 90.00 90.00
Space group Im-3m (No. 229)
Symmetry-distinct sites (fractional):
1 La 0.000 0.250 0.500 x12

---

No. 5
This record from Alexandria via LeMat-Bulk describes a relaxed La crystal. The functional is PBE.

V in Å³ per cell: 295.1
ΔH_f (0 K) in eV/atom: 0.99
Energy relative to the lowest polymorph listed for this composition in meV/atom: 986
E_tot in eV/f.u.: -3.941

a b c (Å): 6.658 6.658 6.658
angles (deg): 90.00 90.00 90.00
Space group Fd-3m (No. 227, origin choice 2)
Symmetry-distinct sites (fractional):
1 La 0.125 0.125 0.125 x8

---

No. 6
This record from Alexandria via LeMat-Bulk describes a relaxed La crystal. The functional is PBE.

V in Å³ per cell: 35.5
ΔH_f (0 K) in eV/atom: 0.49
Energy relative to the lowest polymorph listed for this composition in meV/atom: 489
E_tot in eV/f.u.: -4.438

a b c (Å): 3.288 3.288 3.288
angles (deg): 90.00 90.00 90.00
Space group Pm-3m (No. 221)
Symmetry-distinct sites (fractional):
1 La 0.000 0.000 0.000 x1

---

No. 7
This record from Alexandria via LeMat-Bulk describes a relaxed La crystal. The functional is PBE.

V in Å³ per cell: 456.9
ΔH_f (0 K) in eV/atom: 0.21
Energy relative to the lowest polymorph listed for this composition in meV/atom: 210
E_tot in eV/f.u.: -4.717

a b c (Å): 12.0689 12.0689 3.6218
angles (deg): 90.00 90.00 120.00
Space group P6_3/m (No. 176)
Symmetry-distinct sites (fractional):
1 La 0.0602 0.2855 0.2500 x6
2 La 0.1420 0.6131 0.2500 x6

---

No. 8
This record from Alexandria via LeMat-Bulk describes a relaxed La crystal. The functional is PBE.

V in Å³ per cell: 822.5
ΔH_f (0 K) in eV/atom: 1.27
Energy relative to the lowest polymorph listed for this composition in meV/atom: 1268
E_tot in eV/f.u.: -3.659

a b c (Å): 9.369 9.369 9.369
angles (deg): 90.00 90.00 90.00
Space group Im-3m (No. 229)
Symmetry-distinct sites (fractional):
1 La 0.156 0.156 0.156 x16

---

No. 9
This record from Alexandria via LeMat-Bulk describes a relaxed La crystal. The functional is PBE.

V in Å³ per cell: 147.4
ΔH_f (0 K) in eV/atom: 0.00
Energy relative to the lowest polymorph listed for this composition in meV/atom: 0
E_tot in eV/f.u.: -4.927

a b c (Å): 3.7610 3.7610 12.0307
angles (deg): 90.00 90.00 120.00
Space group P6_3/mmc (No. 194)
Symmetry-distinct sites (fractional):
1 La 0.0000 0.0000 0.0000 x2
2 La 0.3333 0.6667 0.2500 x2

---

No. 10
This record from Alexandria via LeMat-Bulk describes a relaxed La crystal. The functional is PBE.

V in Å³ per cell: 157.6
ΔH_f (0 K) in eV/atom: 0.57
Energy relative to the lowest polymorph listed for this composition in meV/atom: 566
E_tot in eV/f.u.: -4.361

a b c (Å): 5.7104 5.7104 5.5794
angles (deg): 90.00 90.00 120.00
Space group P6_3/mmc (No. 194)
Symmetry-distinct sites (fractional):
1 La 0.0000 0.0000 0.2500 x2
2 La 0.3333 0.6667 0.2500 x2

---

No. 11
This record from Alexandria via LeMat-Bulk describes a relaxed La crystal. The functional is PBE.

V in Å³ per cell: 596.3
ΔH_f (0 K) in eV/atom: 0.19
Energy relative to the lowest polymorph listed for this composition in meV/atom: 193
E_tot in eV/f.u.: -4.735

a b c (Å): 12.937 12.937 3.563
angles (deg): 90.00 90.00 90.00
Space group I4/m (No. 87)
Symmetry-distinct sites (fractional):
1 La 0.084 0.648 0.000 x8
2 La 0.103 0.167 0.000 x8

---

No. 12
This record from Alexandria via LeMat-Bulk describes a relaxed La crystal. The functional is PBE.

V in Å³ per cell: 155.6
ΔH_f (0 K) in eV/atom: 0.97
Energy relative to the lowest polymorph listed for this composition in meV/atom: 967
E_tot in eV/f.u.: -3.960

a b c (Å): 5.1198 5.1198 6.8556
angles (deg): 90.00 90.00 120.00
Space group P6_3/mmc (No. 194)
Symmetry-distinct sites (fractional):
1 La 0.3333 0.6667 0.0374 x4